Nd5GaHg2 GGA-PBE relaxed; total magnetic moment = 0.00 μB per formula unit; excess energy over the best structure of this formula in the dataset = 0 meV/atom; N(E_F) = 17.9 states/eV per cell; energy of formation from the pure elements = -2.95 eV per formula unit
1.0
5.3061 0.0000 0.0000
0.0000 6.8181 0.0000
0.0000 0.0000 12.9883
Nd Ga Hg
10 2 4
Cartesian
2.6530 2.4167 1.3280 Nd
2.6530 4.4014 11.6603 Nd
2.6530 5.8258 5.1662 Nd
2.6530 0.9923 7.8221 Nd
0.0000 5.7214 9.3205 Nd
0.0000 1.0967 3.6678 Nd
0.0000 2.3123 10.1620 Nd
0.0000 4.5058 2.8263 Nd
0.0000 3.4090 6.4942 Nd
0.0000 0.0000 0.0000 Nd
0.0000 0.0000 6.4942 Ga
0.0000 3.4090 0.0000 Ga
2.6530 2.6857 4.6023 Hg
2.6530 4.1324 8.3860 Hg
2.6530 0.7233 11.0965 Hg
2.6530 6.0948 1.8918 Hg